Density functional theory data (PBE) for a relaxed TlCoSN2 crystal.

Its energy relative to the elements, uncorrected is 0.984 eV per atom. The calculation puts the total magnetization at 3.3 μB/f.u. The density comes out at 7.4 Mg/m³. The calculation puts the distance to the lowest polymorph of the same formula at 0.00 eV/f.u.

The structure belongs to space group P4/mmm (No. 123); the cell edges are 3.7853, 3.7853 and 5.0443 Å and the angles 90.00°, 90.00° and 90.00°. Symmetry generates all atoms from Tl at (0.0000, 0.0000, 0.0000), Co at (0.5000, 0.5000, 0.5000), S at (0.5000, 0.5000, 0.0000) and N at (0.0000, 0.5000, 0.5000).